1.
The following is a PBE calculation of Ho4AgTe2 after structural relaxation, from Alexandria.

```
14
Lattice="-0.083 4.892 6.591 -5.110 -6.309 1.209 7.519 -2.749 -1.251" Properties=species:S:1:pos:R:3 pbc="T T T"
Ho 1.929 -1.357 6.144
Ho -1.078 -2.235 2.406
Ho 5.414 -1.382 1.125
Ho 1.925 0.604 2.044
Ho -2.102 -0.594 6.477
Ho 2.419 -4.120 3.089
Ho 0.901 2.244 6.114
Ho 4.923 1.379 4.180
Te 3.712 -3.815 0.339
Te -2.643 -3.150 4.865
Te -0.088 0.004 4.260
Te 3.671 -1.370 3.634
Ag 7.513 -2.750 -1.242
Ag -0.088 -4.882 1.920
```

## Properties
Symmetry: C2/c, No. 15
Calculated total energy: -64.330 eV per cell
Calculated volume: 29.8 Å³ per atom

---

2.
The following is a PBE calculation of Rb2SiAuI6 after structural relaxation, from Alexandria.

```
10
Lattice="8.165 0.000 0.000 0.000 8.165 0.000 4.082 4.082 5.808" Properties=species:S:1:pos:R:3 pbc="T T T"
Rb 8.165 4.082 2.904
Rb 4.082 8.165 2.904
I 6.074 2.090 0.000
I 2.090 6.074 0.000
I 6.074 6.074 0.000
I 4.082 4.082 2.822
I 2.090 2.090 0.000
I 8.165 8.165 2.986
Si 4.082 4.082 0.000
Au 0.000 0.000 0.000
```

## Properties
Symmetry: I4/mmm, No. 139
Calculated total energy: -26.242 eV per cell
Calculated volume: 38.7 Å³ per atom

---

3.
The following is a PBE calculation of TeICl3 after structural relaxation, from Alexandria.

```
5
Lattice="5.361 0.000 0.000 0.000 5.361 0.000 0.000 0.000 5.361" Properties=species:S:1:pos:R:3 pbc="T T T"
I 2.681 2.681 2.681
Cl 0.000 0.000 2.681
Cl 2.681 0.000 0.000
Cl 0.000 2.681 0.000
Te 0.000 0.000 0.000
```

## Properties
Symmetry: Pm-3m, No. 221
Calculated total energy: -10.469 eV per cell
Calculated volume: 30.8 Å³ per atom

---

Question: Among the records above, which one has the lowest calculated volume?
Answer: Ho4AgTe2

---

Question: Which value of calculated total energy does entry 2 give?
Answer: -26.242 eV per cell

---

Question: The highest calculated volume belongs to which entry?
Answer: Rb2SiAuI6

---

Question: Among the records above, which one has the lowest calculated total energy?
Answer: Ho4AgTe2